(1)
Compound: Pm2DyCu
Source: Alexandria via LeMat-Bulk
Functional: PBE
Structure: optimized geometry

a b c (Å): 3.5051 3.5051 11.5491
angles (deg): 81.27 81.27 60.00
Last column: nearest neighbours and their distance in Å.
Sites, in units of the cell vectors:
Pm: 0.0821 0.0821 0.7538  1 Cu 2.80
Pm: 0.9179 0.9179 0.2462  1 Cu 2.80
Cu: 0.0000 0.0000 0.0000  2 Pm 2.80
Dy: 0.5000 0.5000 0.5000  6 Dy 3.51, 6 Pm 3.52

VASP energy, eV/atom: -4.13
Space-group type: R-3m, No. 166
Formation energy, eV per atom: 0.424

(2)
Compound: Pm2DyCu3
Source: Alexandria via LeMat-Bulk
Functional: PBE
Structure: optimized geometry

a b c (Å): 3.5207 3.5207 10.6532
angles (deg): 90.00 90.00 90.00
Last column: nearest neighbours and their distance in Å.
Sites, in units of the cell vectors:
Pm: 0.5000 0.5000 0.1698  8 Cu 3.08-3.11
Cu: 0.0000 0.0000 0.0000  8 Pm 3.08
Pm: 0.5000 0.5000 0.8302  8 Cu 3.08-3.11
Dy: 0.5000 0.5000 0.5000  8 Cu 2.99
Cu: 0.0000 0.0000 0.3442  4 Dy 2.99, 4 Pm 3.11, 1 Cu 3.32
Cu: 0.0000 0.0000 0.6558  4 Dy 2.99, 4 Pm 3.11, 1 Cu 3.32

VASP energy, eV/atom: -4.59
Space-group type: P4/mmm, No. 123
Formation energy, eV per atom: -0.196

(3)
Compound: PmDy2Cu6
Source: Alexandria via LeMat-Bulk
Functional: PBE
Structure: optimized geometry

a b c (Å): 3.6093 7.3489 7.3489
angles (deg): 120.00 90.00 90.00
Last column: nearest neighbours and their distance in Å.
Sites, in units of the cell vectors:
Cu: 0.5000 0.6649 0.0000  3 Cu 2.42-2.46
Cu: 0.5000 0.3351 0.0000  3 Cu 2.42-2.46
Cu: 0.5000 0.6649 0.6649  3 Cu 2.42-2.46
Cu: 0.5000 0.3351 0.3351  3 Cu 2.42-2.46
Dy: 0.0000 0.3333 0.6667  12 Cu 3.04
Pm: 0.0000 0.0000 0.0000  12 Cu 3.05
Dy: 0.0000 0.6667 0.3333  12 Cu 3.04
Cu: 0.5000 0.0000 0.3351  3 Cu 2.42-2.46
Cu: 0.5000 0.0000 0.6649  3 Cu 2.42-2.46

VASP energy, eV/atom: -4.53
Space-group type: P6/mmm, No. 191
Formation energy, eV per atom: -0.247

(4)
Compound: PmDyCu10
Source: Alexandria via LeMat-Bulk
Functional: PBE
Structure: optimized geometry

a b c (Å): 4.1082 5.0566 8.7099
angles (deg): 90.00 90.00 90.00
Last column: nearest neighbours and their distance in Å.
Sites, in units of the cell vectors:
Dy: 0.0000 0.5000 0.5000  6 Cu 2.87-2.90
Cu: 0.5000 0.0000 0.5000  8 Cu 2.50
Cu: 0.0000 0.0000 0.3367  6 Cu 2.50-2.52
Cu: 0.5000 0.2517 0.2535  8 Cu 2.50-2.55
Pm: 0.0000 0.0000 0.0000  18 Cu 2.93-3.27
Cu: 0.5000 0.7483 0.2535  8 Cu 2.50-2.55
Cu: 0.5000 0.7483 0.7465  8 Cu 2.50-2.55
Cu: 0.0000 0.0000 0.6633  6 Cu 2.50-2.52
Cu: 0.5000 0.5000 0.0000  8 Cu 2.53-2.54
Cu: 0.0000 0.5000 0.1706  6 Cu 2.51-2.53
Cu: 0.0000 0.5000 0.8294  6 Cu 2.51-2.53
Cu: 0.5000 0.2517 0.7465  8 Cu 2.50-2.55

VASP energy, eV/atom: -4.37
Space-group type: Pmmm, No. 47
Formation energy, eV per atom: -0.182

(5)
Compound: PmDy2Cu4
Source: Alexandria via LeMat-Bulk
Functional: PBE
Structure: optimized geometry

a b c (Å): 5.2892 5.2892 6.5217
angles (deg): 113.92 113.92 90.00
Last column: nearest neighbours and their distance in Å.
Sites, in units of the cell vectors:
Cu: 0.1248 0.6248 0.2497  2 Cu 2.67-2.68, 2 Dy 2.76, 2 Pm 2.96
Cu: 0.3752 0.8752 0.7503  2 Cu 2.67-2.68, 2 Dy 2.76, 2 Pm 2.96
Dy: 0.6993 0.6993 0.3985  4 Cu 2.76
Cu: 0.8752 0.3752 0.7503  2 Cu 2.67-2.68, 2 Dy 2.76, 2 Pm 2.96
Cu: 0.6248 0.1248 0.2497  2 Cu 2.67-2.68, 2 Dy 2.76, 2 Pm 2.96
Pm: 0.0000 0.0000 0.0000  8 Cu 2.96, 2 Dy 3.21
Dy: 0.3007 0.3007 0.6015  4 Cu 2.76

VASP energy, eV/atom: -4.32
Space-group type: I4/mmm, No. 139
Formation energy, eV per atom: 0.011

(6)
Compound: PmDy2Cu6
Source: Alexandria via LeMat-Bulk
Functional: PBE
Structure: optimized geometry

a b c (Å): 3.6275 7.7600 7.7600
angles (deg): 55.16 76.48 76.48
Last column: nearest neighbours and their distance in Å.
Sites, in units of the cell vectors:
Dy: 0.3603 0.1397 0.1397  10 Cu 2.80-2.94
Pm: 0.5000 0.5000 0.5000  12 Cu 2.95-3.22
Dy: 0.6397 0.8603 0.8603  10 Cu 2.80-2.94
Cu: 0.1741 0.1418 0.5099  2 Cu 2.52-2.65, 1 Dy 2.80
Cu: 0.8259 0.4901 0.8582  2 Cu 2.52-2.65, 1 Dy 2.80
Cu: 0.1741 0.5099 0.1418  2 Cu 2.52-2.65, 1 Dy 2.80
Cu: 0.0000 0.8229 0.1771  3 Cu 2.52-2.54
Cu: 0.8259 0.8582 0.4901  2 Cu 2.52-2.65, 1 Dy 2.80
Cu: 0.0000 0.1771 0.8229  3 Cu 2.52-2.54

VASP energy, eV/atom: -4.41
Space-group type: Immm, No. 71
Formation energy, eV per atom: -0.124